[1]
ReOsCl2 | PBE | relaxed Values from VASP.

Structure (Quantum ESPRESSO input):
```
&SYSTEM
  ibrav = 0, nat = 4, ntyp = 3
/
ATOMIC_SPECIES
Cl 35.45 Cl.upf
Re 186.21 Re.upf
Os 190.23 Os.upf
CELL_PARAMETERS angstrom
7.492 0.089 0.011
5.497 5.092 -0.011
-6.051 -3.702 2.413
ATOMIC_POSITIONS crystal
Cl 0.106 0.106 0.000
Re 0.250 0.750 0.500
Cl 0.394 0.394 0.000
Os 0.750 0.250 0.500
```

Values from the calculation:
uncorrected formation energy: 0.74 eV per atom
raw total energy: -24.39 eV for the cell shown
D(E_F): 2.49 states/eV per cell

[2]
NiWSeN2 | PBE | relaxed Values from VASP.

Structure (Quantum ESPRESSO input):
```
&SYSTEM
  ibrav = 0, nat = 5, ntyp = 4
/
ATOMIC_SPECIES
W 183.84 W.upf
Se 78.96 Se.upf
Ni 58.69 Ni.upf
N 14.01 N.upf
CELL_PARAMETERS angstrom
3.850 0.000 0.000
0.000 3.850 0.000
0.000 0.000 5.351
ATOMIC_POSITIONS crystal
W 0.000 0.000 0.000
Se 0.000 0.000 0.500
Ni 0.500 0.500 0.500
N 0.000 0.500 0.000
N 0.500 0.000 0.000
```

Values from the calculation:
uncorrected formation energy: 0.57 eV per atom
raw total energy: -36.04 eV for the cell shown
D(E_F): 3.70 states/eV per cell

[3]
Zr2TeSe | PBE | relaxed Values from VASP.

Structure (Quantum ESPRESSO input):
```
&SYSTEM
  ibrav = 0, nat = 4, ntyp = 3
/
ATOMIC_SPECIES
Se 78.96 Se.upf
Zr 91.22 Zr.upf
Te 127.60 Te.upf
CELL_PARAMETERS angstrom
4.912 0.004 -0.007
-0.003 4.912 -0.007
0.005 0.005 3.482
ATOMIC_POSITIONS crystal
Se 0.500 0.000 0.500
Zr 0.500 0.500 0.000
Te 0.000 0.500 0.500
Zr 0.000 0.000 0.000
```

Values from the calculation:
uncorrected formation energy: -0.90 eV per atom
raw total energy: -27.31 eV for the cell shown
D(E_F): 1.33 states/eV per cell

[4]
DyZrBe2 | PBE | relaxed Values from VASP.

Structure (Quantum ESPRESSO input):
```
&SYSTEM
  ibrav = 0, nat = 4, ntyp = 3
/
ATOMIC_SPECIES
Be 9.01 Be.upf
Dy 162.50 Dy.upf
Zr 91.22 Zr.upf
CELL_PARAMETERS angstrom
-2.813 1.634 -0.507
-1.347 -2.717 -1.284
-2.084 -1.756 5.902
ATOMIC_POSITIONS crystal
Be 0.000 0.000 0.785
Be 0.000 0.000 0.215
Dy 0.500 0.500 0.500
Zr 0.500 0.500 0.000
```

Values from the calculation:
formation energy: 0.005 eV/atom
raw total energy: -20.58 eV for the cell shown
D(E_F): 2.00 states/eV per cell

[5]
Tb3Sm2Tm6 | PBE | relaxed Values from VASP.

Structure (Quantum ESPRESSO input):
```
&SYSTEM
  ibrav = 0, nat = 11, ntyp = 3
/
ATOMIC_SPECIES
Tb 158.93 Tb.upf
Tm 168.93 Tm.upf
Sm 150.36 Sm.upf
CELL_PARAMETERS angstrom
5.809 0.000 1.736
2.904 5.259 0.868
-1.309 0.000 11.496
ATOMIC_POSITIONS crystal
Tb 0.665 0.671 0.000
Tb 0.335 0.329 0.000
Tm 0.250 0.000 0.249
Sm 0.167 0.667 0.500
Tm 0.083 0.333 0.751
Tm 0.416 0.667 0.751
Tm 0.750 0.000 0.751
Tb 0.000 0.000 0.000
Tm 0.917 0.667 0.249
Sm 0.833 0.333 0.500
Tm 0.584 0.333 0.249
```

Values from the calculation:
formation energy: 0.192 eV/atom
raw total energy: -48.05 eV for the cell shown
D(E_F): 17.57 states/eV per cell

[6]
Dy12Ag2Hg5 | PBE | relaxed Values from VASP.

Structure (Quantum ESPRESSO input):
```
&SYSTEM
  ibrav = 0, nat = 19, ntyp = 3
/
ATOMIC_SPECIES
Hg 200.59 Hg.upf
Ag 107.87 Ag.upf
Dy 162.50 Dy.upf
CELL_PARAMETERS angstrom
-3.284 -6.176 -5.111
6.155 -1.584 5.301
-6.472 -1.582 6.072
ATOMIC_POSITIONS crystal
Hg 0.252 0.503 0.626
Ag 0.732 0.000 0.000
Hg 0.334 0.667 0.048
Hg 0.000 0.000 0.500
Dy 0.588 0.748 0.445
Ag 0.268 0.000 0.000
Dy 0.160 0.748 0.445
Dy 0.925 0.851 0.158
Hg 0.666 0.333 0.952
Hg 0.748 0.497 0.374
Dy 0.075 0.149 0.842
Dy 0.525 0.051 0.243
Dy 0.021 0.628 0.825
Dy 0.475 0.949 0.757
Dy 0.979 0.372 0.175
Dy 0.393 0.372 0.175
Dy 0.607 0.628 0.825
Dy 0.840 0.252 0.555
Dy 0.412 0.252 0.555
```

Values from the calculation:
formation energy: -0.143 eV/atom
raw total energy: -65.15 eV for the cell shown
D(E_F): 16.60 states/eV per cell

[7]
AgPdBr3 | PBE | relaxed Values from VASP.

Structure (Quantum ESPRESSO input):
```
&SYSTEM
  ibrav = 0, nat = 10, ntyp = 3
/
ATOMIC_SPECIES
Ag 107.87 Ag.upf
Br 79.90 Br.upf
Pd 106.42 Pd.upf
CELL_PARAMETERS angstrom
-0.273 2.077 -4.056
-2.145 -4.941 -5.754
-10.241 -2.803 1.394
ATOMIC_POSITIONS crystal
Ag 0.449 0.968 0.282
Br 0.920 0.266 0.843
Br 0.894 0.613 0.529
Pd 0.768 0.267 0.052
Br 0.977 0.895 0.152
Br 0.591 0.291 0.253
Pd 0.716 0.637 0.730
Ag 0.036 0.936 0.500
Br 0.564 0.638 0.940
Br 0.509 0.009 0.630
```

Values from the calculation:
uncorrected formation energy: -0.31 eV per atom
raw total energy: -29.20 eV for the cell shown

[8]
Nd3PbSe6 | PBE | relaxed Values from VASP.

Structure (Quantum ESPRESSO input):
```
&SYSTEM
  ibrav = 0, nat = 20, ntyp = 3
/
ATOMIC_SPECIES
Se 78.96 Se.upf
Nd 144.24 Nd.upf
Pb 207.20 Pb.upf
CELL_PARAMETERS angstrom
7.236 0.000 0.000
0.000 9.239 -0.012
0.000 -2.074 9.003
ATOMIC_POSITIONS crystal
Se 0.182 0.695 0.630
Se 0.611 0.224 0.776
Nd 0.887 0.594 0.406
Se 0.682 0.305 0.370
Pb 0.009 0.198 0.802
Se 0.226 0.092 0.548
Se 0.726 0.908 0.452
Se 0.226 0.452 0.908
Se 0.726 0.548 0.092
Se 0.699 0.977 0.023
Se 0.199 0.023 0.977
Nd 0.481 0.284 0.089
Nd 0.387 0.406 0.594
Se 0.182 0.370 0.305
Pb 0.509 0.802 0.198
Nd 0.481 0.911 0.716
Se 0.111 0.776 0.224
Nd 0.981 0.089 0.284
Nd 0.981 0.716 0.911
Se 0.682 0.630 0.695
```

Values from the calculation:
uncorrected formation energy: -1.45 eV per atom
raw total energy: -106.94 eV for the cell shown
D(E_F): 8.91 states/eV per cell

[9]
NbPt4Rh3 | PBE | relaxed Values from VASP.

Structure (Quantum ESPRESSO input):
```
&SYSTEM
  ibrav = 0, nat = 8, ntyp = 3
/
ATOMIC_SPECIES
Pt 195.08 Pt.upf
Rh 102.91 Rh.upf
Nb 92.91 Nb.upf
CELL_PARAMETERS angstrom
-2.318 -0.818 1.328
3.569 0.406 6.482
-2.406 6.232 -3.302
ATOMIC_POSITIONS crystal
Pt 0.354 0.545 0.708
Rh 0.830 0.830 0.660
Nb 0.500 0.000 0.000
Pt 0.646 0.837 0.292
Rh 0.170 0.170 0.340
Pt 0.646 0.455 0.292
Pt 0.354 0.163 0.708
Rh 0.000 0.500 0.000
```

Values from the calculation:
formation energy: -0.006 eV/atom
raw total energy: -56.34 eV for the cell shown
D(E_F): 10.20 states/eV per cell

[10]
BaCu4Tc | PBE | relaxed Values from VASP.

Structure (Quantum ESPRESSO input):
```
&SYSTEM
  ibrav = 0, nat = 6, ntyp = 3
/
ATOMIC_SPECIES
Cu 63.55 Cu.upf
Tc 98.00 Tc.upf
Ba 137.33 Ba.upf
CELL_PARAMETERS angstrom
0.000 3.720 3.720
3.720 0.000 3.720
3.720 3.720 0.000
ATOMIC_POSITIONS crystal
Cu 0.378 0.378 0.378
Cu 0.378 0.867 0.378
Tc 0.750 0.750 0.750
Cu 0.378 0.378 0.867
Cu 0.867 0.378 0.378
Ba 0.000 0.000 0.000
```

Values from the calculation:
formation energy: 0.552 eV/atom
raw total energy: -25.36 eV for the cell shown
D(E_F): 7.13 states/eV per cell

[11]
NaSr2Eu | PBE | relaxed Values from VASP.

Structure (Quantum ESPRESSO input):
```
&SYSTEM
  ibrav = 0, nat = 4, ntyp = 3
/
ATOMIC_SPECIES
Na 22.99 Na.upf
Sr 87.62 Sr.upf
Eu 151.96 Eu.upf
CELL_PARAMETERS angstrom
-0.470 -0.138 -4.041
-1.568 -3.322 -1.754
-13.699 4.293 -0.604
ATOMIC_POSITIONS crystal
Na 0.000 0.000 0.000
Sr 0.088 0.088 0.735
Eu 0.500 0.500 0.500
Sr 0.912 0.912 0.265
```

Values from the calculation:
formation energy: 0.115 eV/atom
raw total energy: -14.50 eV for the cell shown
D(E_F): 3.64 states/eV per cell

[12]
Nd4RuSeBr2 | PBE | relaxed Values from VASP.

Structure (Quantum ESPRESSO input):
```
&SYSTEM
  ibrav = 0, nat = 8, ntyp = 4
/
ATOMIC_SPECIES
Br 79.90 Br.upf
Nd 144.24 Nd.upf
Ru 101.07 Ru.upf
Se 78.96 Se.upf
CELL_PARAMETERS angstrom
4.097 0.000 0.000
0.000 7.621 0.299
0.000 -2.511 7.423
ATOMIC_POSITIONS crystal
Br 0.000 0.500 0.500
Nd 0.500 0.745 0.796
Ru 0.500 0.500 0.000
Se 0.000 0.000 0.000
Br 0.500 0.000 0.500
Nd 0.000 0.712 0.200
Nd 0.000 0.288 0.800
Nd 0.500 0.255 0.204
```

Values from the calculation:
uncorrected formation energy: -1.14 eV per atom
raw total energy: -44.31 eV for the cell shown
D(E_F): 6.05 states/eV per cell

[13]
Sr2RhPb | PBE | relaxed Values from VASP.

Structure (Quantum ESPRESSO input):
```
&SYSTEM
  ibrav = 0, nat = 4, ntyp = 3
/
ATOMIC_SPECIES
Pb 207.20 Pb.upf
Sr 87.62 Sr.upf
Rh 102.91 Rh.upf
CELL_PARAMETERS angstrom
-6.091 2.445 2.207
-6.056 -1.353 -3.074
5.720 -2.341 3.123
ATOMIC_POSITIONS crystal
Pb 0.564 0.564 0.000
Sr 0.249 0.749 0.500
Rh 0.734 0.234 0.500
Sr 0.953 0.953 0.000
```

Values from the calculation:
formation energy: -0.276 eV/atom
raw total energy: -15.53 eV for the cell shown
D(E_F): 3.04 states/eV per cell

[14]
TlSi4Mo | PBE | relaxed Values from VASP.

Structure (Quantum ESPRESSO input):
```
&SYSTEM
  ibrav = 0, nat = 6, ntyp = 3
/
ATOMIC_SPECIES
Tl 204.38 Tl.upf
Si 28.09 Si.upf
Mo 95.94 Mo.upf
CELL_PARAMETERS angstrom
0.000 3.640 3.640
3.640 0.000 3.640
3.640 3.640 0.000
ATOMIC_POSITIONS crystal
Tl 0.250 0.250 0.250
Si 0.627 0.627 0.120
Si 0.627 0.627 0.627
Mo 0.000 0.000 0.000
Si 0.627 0.120 0.627
Si 0.120 0.627 0.627
```

Values from the calculation:
uncorrected formation energy: 0.62 eV per atom
raw total energy: -31.14 eV for the cell shown
D(E_F): 5.15 states/eV per cell

[15]
KSm2Cl6 | PBE | relaxed Values from VASP.

Structure (Quantum ESPRESSO input):
```
&SYSTEM
  ibrav = 0, nat = 9, ntyp = 3
/
ATOMIC_SPECIES
Cl 35.45 Cl.upf
Sm 150.36 Sm.upf
K 39.10 K.upf
CELL_PARAMETERS angstrom
-2.117 -2.759 -2.888
5.679 0.981 -5.099
3.044 -6.089 3.586
ATOMIC_POSITIONS crystal
Cl 0.000 0.974 0.331
Cl 0.500 0.371 0.371
Cl 0.000 0.331 0.974
Sm 0.000 0.587 0.268
Cl 0.500 0.682 0.091
Cl 0.500 0.091 0.682
K 0.500 0.070 0.070
Sm 0.000 0.268 0.587
Cl 0.000 0.627 0.627
```

Values from the calculation:
uncorrected formation energy: -2.07 eV per atom
raw total energy: -40.24 eV for the cell shown
D(E_F): 1.35 states/eV per cell

[16]
Tb4GaAg2Hg | PBE | relaxed Values from VASP.

Structure (Quantum ESPRESSO input):
```
&SYSTEM
  ibrav = 0, nat = 8, ntyp = 4
/
ATOMIC_SPECIES
Tb 158.93 Tb.upf
Ag 107.87 Ag.upf
Ga 69.72 Ga.upf
Hg 200.59 Hg.upf
CELL_PARAMETERS angstrom
5.177 0.000 0.000
2.588 4.483 0.000
2.588 1.494 8.467
ATOMIC_POSITIONS crystal
Tb 0.873 0.873 0.382
Tb 0.127 0.127 0.618
Ag 0.749 0.749 0.753
Ag 0.251 0.251 0.247
Ga 0.500 0.500 0.500
Tb 0.623 0.623 0.132
Hg 0.000 0.000 0.000
Tb 0.377 0.377 0.868
```

Values from the calculation:
formation energy: -0.426 eV/atom
raw total energy: -30.96 eV for the cell shown
D(E_F): 6.18 states/eV per cell

[17]
Tl2SnH2Pd7 | PBE | relaxed Values from VASP.

Structure (Quantum ESPRESSO input):
```
&SYSTEM
  ibrav = 0, nat = 12, ntyp = 4
/
ATOMIC_SPECIES
Sn 118.71 Sn.upf
H 1.01 H.upf
Pd 106.42 Pd.upf
Tl 204.38 Tl.upf
CELL_PARAMETERS angstrom
4.074 -0.005 0.179
0.000 4.074 0.179
2.484 2.481 11.175
ATOMIC_POSITIONS crystal
Sn 0.000 0.000 0.000
H 0.352 0.352 0.196
Pd 0.128 0.625 0.816
Pd 0.872 0.375 0.184
Pd 0.625 0.128 0.816
Pd 0.500 0.500 0.000
Tl 0.744 0.744 0.383
Pd 0.763 0.763 0.622
Pd 0.375 0.872 0.184
Pd 0.237 0.237 0.378
H 0.648 0.648 0.804
Tl 0.256 0.256 0.617
```

Values from the calculation:
raw total energy: -55.10 eV for the cell shown
D(E_F): 3.40 states/eV per cell

[18]
U2Ge4PdPt3 | PBE | relaxed Values from VASP.

Structure (Quantum ESPRESSO input):
```
&SYSTEM
  ibrav = 0, nat = 10, ntyp = 4
/
ATOMIC_SPECIES
Ge 72.64 Ge.upf
Pt 195.08 Pt.upf
Pd 106.42 Pd.upf
U 238.03 U.upf
CELL_PARAMETERS angstrom
-1.339 1.435 3.801
-3.746 -1.985 -0.570
3.770 -8.407 4.502
ATOMIC_POSITIONS crystal
Ge 0.500 0.500 0.000
Ge 0.000 0.500 0.366
Pt 0.000 0.500 0.129
Pd 0.500 0.500 0.500
U 0.000 0.500 0.749
Pt 0.500 0.000 0.871
Ge 0.500 0.000 0.634
U 0.500 0.000 0.251
Ge 0.000 0.000 0.000
Pt 0.000 0.000 0.500
```

Values from the calculation:
formation energy: -0.538 eV/atom
raw total energy: -69.74 eV for the cell shown
D(E_F): 18.23 states/eV per cell

[19]
AlFeTe2 | PBE | relaxed Values from VASP.

Structure (Quantum ESPRESSO input):
```
&SYSTEM
  ibrav = 0, nat = 4, ntyp = 3
/
ATOMIC_SPECIES
Al 26.98 Al.upf
Te 127.60 Te.upf
Fe 55.84 Fe.upf
CELL_PARAMETERS angstrom
4.120 0.000 0.000
0.000 4.230 0.010
0.000 -0.017 5.673
ATOMIC_POSITIONS crystal
Al 0.000 0.748 0.437
Te 0.000 0.753 0.955
Te 0.500 0.249 0.423
Fe 0.500 0.750 0.685
```

Values from the calculation:
uncorrected formation energy: -0.01 eV per atom
raw total energy: -18.53 eV for the cell shown
D(E_F): 3.94 states/eV per cell

[20]
K3AgHg | PBE | relaxed Values from VASP.

Structure (Quantum ESPRESSO input):
```
&SYSTEM
  ibrav = 0, nat = 5, ntyp = 3
/
ATOMIC_SPECIES
K 39.10 K.upf
Hg 200.59 Hg.upf
Ag 107.87 Ag.upf
CELL_PARAMETERS angstrom
-2.311 5.956 -0.909
-5.857 -1.992 1.835
1.413 1.482 6.120
ATOMIC_POSITIONS crystal
K 0.000 0.500 0.000
K 0.000 0.000 0.500
Hg 0.500 0.500 0.500
K 0.500 0.000 0.000
Ag 0.000 0.000 0.000
```

Values from the calculation:
formation energy: 0.065 eV/atom
raw total energy: -6.12 eV for the cell shown
D(E_F): 5.45 states/eV per cell